AlSeIN2 | PBE | optimized geometry

Structure (POSCAR):
```
AlSeIN2
1.0
4.013 0.000 0.000
0.000 4.013 0.000
0.000 0.000 5.639
Al Se I N
1 1 1 2
direct
0.000 0.000 0.000
0.000 0.000 0.500
0.500 0.500 0.500
0.000 0.500 0.000
0.500 0.000 0.000
```

Output
E, eV per atom: -4.161
E_form (uncorrected), eV per atom: 0.92
Distance to the lowest polymorph of the same formula, meV per atom: 0
DOS at the Fermi energy, states/eV/cell: 2.61
Space group: No. 123
Theoretical density, g/cm3: 4.77